(1)
# GdLuIrRh, relaxed, DFT PBE
# **Energy of formation**: -0.884 eV per atom
# **E_tot**: -9.5880 eV/atom
data_GdLuIrRh
_chemical_formula_sum 'Gd4 Lu4 Ir4 Rh4'
_symmetry_space_group_name_H-M 'F -4 3 m'
_symmetry_Int_Tables_number 216
_symmetry_space_group_name_Hall 'F -4 2 3'
_cell_length_a 6.814
_cell_length_b 6.814
_cell_length_c 6.814
_cell_angle_alpha 90.00
_cell_angle_beta 90.00
_cell_angle_gamma 90.00
loop_
_atom_site_label
_atom_site_fract_x
_atom_site_fract_y
_atom_site_fract_z
_atom_site_occupancy
Gd1 0.000 0.000 0.000 1
Lu1 0.000 0.000 0.500 1
Ir1 0.250 0.250 0.750 1
Rh1 0.250 0.250 0.250 1



(2)
# PrMgZrAl, relaxed, DFT PBE
# **Energy of formation**: -0.132 eV per atom
# **E_tot**: -4.7980 eV/atom
data_PrMgZrAl
_chemical_formula_sum 'Pr4 Mg4 Zr4 Al4'
_symmetry_space_group_name_H-M 'F -4 3 m'
_symmetry_Int_Tables_number 216
_symmetry_space_group_name_Hall 'F -4 2 3'
_cell_length_a 7.244
_cell_length_b 7.244
_cell_length_c 7.244
_cell_angle_alpha 90.00
_cell_angle_beta 90.00
_cell_angle_gamma 90.00
loop_
_atom_site_label
_atom_site_fract_x
_atom_site_fract_y
_atom_site_fract_z
_atom_site_occupancy
Pr1 0.000 0.000 0.000 1
Mg1 0.250 0.250 0.750 1
Zr1 0.000 0.000 0.500 1
Al1 0.250 0.250 0.250 1



(3)
# La4Pm6Y, relaxed, DFT PBE
# **Energy relative to the lowest polymorph listed for this composition**: 96 meV/atom
# **Energy of formation**: 0.365 eV per atom
# **E_tot**: -4.6053 eV/atom
data_La4Pm6Y
_chemical_formula_sum 'La8 Pm12 Y2'
_symmetry_space_group_name_H-M 'I -4 2 m'
_symmetry_Int_Tables_number 121
_symmetry_space_group_name_Hall 'I -4 2'
_cell_length_a 7.695
_cell_length_b 7.695
_cell_length_c 13.682
_cell_angle_alpha 90.00
_cell_angle_beta 90.00
_cell_angle_gamma 90.00
loop_
_atom_site_label
_atom_site_fract_x
_atom_site_fract_y
_atom_site_fract_z
_atom_site_occupancy
La1 0.178 0.178 0.421 1
Pm1 0.000 0.500 0.000 1
Pm2 0.227 0.227 0.187 1
Y1 0.000 0.000 0.000 1



(4)
# LiAsI2O, relaxed, DFT PBE
# **Energy relative to the lowest polymorph listed for this composition**: 0 meV/atom
# **E_tot**: -3.4518 eV/atom
data_LiAsI2O
_chemical_formula_sum 'Li1 As1 I2 O1'
_symmetry_space_group_name_H-M 'P 4/m m m'
_symmetry_Int_Tables_number 123
_symmetry_space_group_name_Hall '-P 4 2'
_cell_length_a 5.872
_cell_length_b 5.872
_cell_length_c 3.861
_cell_angle_alpha 90.00
_cell_angle_beta 90.00
_cell_angle_gamma 90.00
loop_
_atom_site_label
_atom_site_fract_x
_atom_site_fract_y
_atom_site_fract_z
_atom_site_occupancy
Li1 0.000 0.000 0.000 1
As1 0.500 0.500 0.500 1
I1 0.000 0.500 0.500 1
O1 0.500 0.500 0.000 1



(5)
# TaNi2Br, relaxed, DFT PBE
# **Energy relative to the lowest polymorph listed for this composition**: 27 meV/atom
# **E_tot**: -6.1334 eV/atom
data_TaNi2Br
_chemical_formula_sum 'Ta1 Ni2 Br1'
_symmetry_space_group_name_H-M 'P 1 2/m 1'
_symmetry_Int_Tables_number 10
_symmetry_space_group_name_Hall '-P 2y'
_cell_length_a 3.241
_cell_length_b 3.245
_cell_length_c 6.496
_cell_angle_alpha 90.00
_cell_angle_beta 90.23
_cell_angle_gamma 90.00
loop_
_atom_site_label
_atom_site_fract_x
_atom_site_fract_y
_atom_site_fract_z
_atom_site_occupancy
Ta1 0.000 0.000 0.000 1
Ni1 0.499 0.500 0.810 1
Br1 0.500 0.000 0.500 1



(6)
# MnSb2PI, relaxed, DFT PBE
# **Energy relative to the lowest polymorph listed for this composition**: 571 meV/atom
# **E_tot**: -3.5257 eV/atom
data_MnSb2PI
_chemical_formula_sum 'Mn1 Sb2 P1 I1'
_symmetry_space_group_name_H-M 'P 4/m m m'
_symmetry_Int_Tables_number 123
_symmetry_space_group_name_Hall '-P 4 2'
_cell_length_a 5.214
_cell_length_b 5.214
_cell_length_c 5.213
_cell_angle_alpha 90.00
_cell_angle_beta 90.00
_cell_angle_gamma 90.00
loop_
_atom_site_label
_atom_site_fract_x
_atom_site_fract_y
_atom_site_fract_z
_atom_site_occupancy
Mn1 0.000 0.000 0.000 1
Sb1 0.000 0.500 0.500 1
P1 0.500 0.500 0.500 1
I1 0.500 0.500 0.000 1



(7)
# Mg2AlFe, relaxed, DFT PBE
# **Energy of formation**: 0.139 eV per atom
# **E_tot**: -3.7093 eV/atom
data_Mg2AlFe
_chemical_formula_sum 'Mg4 Al2 Fe2'
_symmetry_space_group_name_H-M 'I m m m'
_symmetry_Int_Tables_number 71
_symmetry_space_group_name_Hall '-I 2 2'
_cell_length_a 3.143
_cell_length_b 4.326
_cell_length_c 9.255
_cell_angle_alpha 90.00
_cell_angle_beta 90.00
_cell_angle_gamma 90.00
loop_
_atom_site_label
_atom_site_fract_x
_atom_site_fract_y
_atom_site_fract_z
_atom_site_occupancy
Mg1 0.000 0.000 0.224 1
Al1 0.000 0.500 0.000 1
Fe1 0.000 0.500 0.500 1



(8)
# CaSi2Ni, relaxed, DFT PBE
# **E_tot**: -4.9142 eV/atom
data_CaSi2Ni
_chemical_formula_sum 'Ca1 Si2 Ni1'
_symmetry_space_group_name_H-M 'P 4/m m m'
_symmetry_Int_Tables_number 123
_symmetry_space_group_name_Hall '-P 4 2'
_cell_length_a 3.026
_cell_length_b 3.026
_cell_length_c 6.942
_cell_angle_alpha 90.00
_cell_angle_beta 90.00
_cell_angle_gamma 90.00
loop_
_atom_site_label
_atom_site_fract_x
_atom_site_fract_y
_atom_site_fract_z
_atom_site_occupancy
Ca1 0.000 0.000 0.000 1
Si1 0.500 0.500 0.315 1
Ni1 0.000 0.000 0.500 1



(9)
# Tb4Dy3Si4, relaxed, DFT PBE
# **E_tot**: -5.4162 eV/atom
data_Tb4Dy3Si4
_chemical_formula_sum 'Tb8 Dy6 Si8'
_symmetry_space_group_name_H-M 'I m m m'
_symmetry_Int_Tables_number 71
_symmetry_space_group_name_Hall '-I 2 2'
_cell_length_a 3.788
_cell_length_b 8.625
_cell_length_c 16.768
_cell_angle_alpha 90.00
_cell_angle_beta 90.00
_cell_angle_gamma 90.00
loop_
_atom_site_label
_atom_site_fract_x
_atom_site_fract_y
_atom_site_fract_z
_atom_site_occupancy
Tb1 0.000 0.181 0.171 1
Dy1 0.000 0.000 0.404 1
Dy2 0.000 0.500 0.500 1
Si1 0.000 0.277 0.000 1
Si2 0.000 0.500 0.228 1



(10)
# ThSi3TcRu, relaxed, DFT PBE
# **E_tot**: -7.6053 eV/atom
data_ThSi3TcRu
_chemical_formula_sum 'Th4 Si12 Tc4 Ru4'
_symmetry_space_group_name_H-M 'C m c m'
_symmetry_Int_Tables_number 63
_symmetry_space_group_name_Hall '-C 2c 2'
_cell_length_a 6.038
_cell_length_b 11.768
_cell_length_c 6.382
_cell_angle_alpha 90.00
_cell_angle_beta 90.00
_cell_angle_gamma 90.00
loop_
_atom_site_label
_atom_site_fract_x
_atom_site_fract_y
_atom_site_fract_z
_atom_site_occupancy
Th1 0.000 0.237 0.250 1
Si1 0.000 0.294 0.750 1
Si2 0.202 0.000 0.000 1
Tc1 0.000 0.484 0.750 1
Ru1 0.000 0.105 0.750 1



(11)
# Fe2HgSe, relaxed, DFT PBE
# **E_tot**: -4.5343 eV/atom
data_Fe2HgSe
_chemical_formula_sum 'Fe8 Hg4 Se4'
_symmetry_space_group_name_H-M 'F -4 3 m'
_symmetry_Int_Tables_number 216
_symmetry_space_group_name_Hall 'F -4 2 3'
_cell_length_a 6.488
_cell_length_b 6.488
_cell_length_c 6.488
_cell_angle_alpha 90.00
_cell_angle_beta 90.00
_cell_angle_gamma 90.00
loop_
_atom_site_label
_atom_site_fract_x
_atom_site_fract_y
_atom_site_fract_z
_atom_site_occupancy
Fe1 0.000 0.000 0.000 1
Fe2 0.250 0.250 0.250 1
Hg1 0.000 0.000 0.500 1
Se1 0.250 0.250 0.750 1



(12)
# ErAgPb2, relaxed, DFT PBE
# **Energy of formation**: 0.127 eV per atom
# **E_tot**: -3.5809 eV/atom
data_ErAgPb2
_chemical_formula_sum 'Er3 Ag3 Pb6'
_symmetry_space_group_name_H-M 'R -3 m'
_symmetry_Int_Tables_number 166
_symmetry_space_group_name_Hall '-R 3 2"'
_cell_length_a 3.4656
_cell_length_b 3.4656
_cell_length_c 32.8401
_cell_angle_alpha 90.00
_cell_angle_beta 90.00
_cell_angle_gamma 120.00
loop_
_atom_site_label
_atom_site_fract_x
_atom_site_fract_y
_atom_site_fract_z
_atom_site_occupancy
Er1 0.0000 0.0000 0.0000 1
Ag1 0.0000 0.0000 0.5000 1
Pb1 0.0000 0.0000 0.0955 1



(13)
# MoPIr2, relaxed, DFT PBE
# **Energy of formation**: 0.245 eV per atom
# **E_tot**: -8.2453 eV/atom
data_MoPIr2
_chemical_formula_sum 'Mo4 P4 Ir8'
_symmetry_space_group_name_H-M 'I -4 2 d'
_symmetry_Int_Tables_number 122
_symmetry_space_group_name_Hall 'I -4 2bw'
_cell_length_a 5.465
_cell_length_b 5.465
_cell_length_c 10.815
_cell_angle_alpha 90.00
_cell_angle_beta 90.00
_cell_angle_gamma 90.00
loop_
_atom_site_label
_atom_site_fract_x
_atom_site_fract_y
_atom_site_fract_z
_atom_site_occupancy
Mo1 0.000 0.000 0.000 1
P1 0.000 0.000 0.500 1
Ir1 0.221 0.250 0.625 1



Number 1: total magnetization 1.74 μB/atom, DOS at the Fermi energy 0.398 states/eV/atom. Number 2: total magnetization 0.00 μB/atom, DOS at the Fermi energy 0.634 states/eV/atom. Number 3: total magnetization 0.00 μB/atom, DOS at the Fermi energy 1.384 states/eV/atom. Number 4: total magnetization 0.00 μB/atom, DOS at the Fermi energy 0.064 states/eV/atom. Number 5: total magnetization 0.00 μB/atom, DOS at the Fermi energy 0.767 states/eV/atom. Number 6: total magnetization 0.00 μB/atom, DOS at the Fermi energy 1.045 states/eV/atom. Number 7: total magnetization 0.04 μB/atom, DOS at the Fermi energy 0.814 states/eV/atom. Number 8: total magnetization 0.00 μB/atom, DOS at the Fermi energy 0.394 states/eV/atom. Number 9: total magnetization 0.02 μB/atom, DOS at the Fermi energy 0.991 states/eV/atom. Number 10: total magnetization 0.00 μB/atom, DOS at the Fermi energy 0.753 states/eV/atom. Number 11: total magnetization 1.41 μB/atom, DOS at the Fermi energy 0.822 states/eV/atom. Number 12: total magnetization 0.00 μB/atom, DOS at the Fermi energy 0.660 states/eV/atom. Number 13: total magnetization 0.00 μB/atom, DOS at the Fermi energy 1.244 states/eV/atom.